Entry 1:
The following is a DFT calculation (PBE) of a relaxed YSi2Sn2 crystal.

Lattice parameters (Å, degrees): 3.457 3.457 19.252 90.00 90.00 90.00
Space group I4/mmm (No. 139)
Symmetry-distinct sites (fractional):
Y (0.000, 0.000, 0.000) [2 per cell]
Si (0.000, 0.500, 0.250) [4 per cell]
Sn (0.000, 0.000, 0.386) [4 per cell]

Computed properties:
raw formation energy	-0.002	eV/atom


Entry 2:
The following is a DFT calculation (PBE) of a relaxed Pm3NdTm7 crystal.

Lattice parameters (Å, degrees): 6.947 5.489 9.963 90.00 110.20 90.00
Space group P2/m (No. 10)
Symmetry-distinct sites (fractional):
Pm (0.000, 0.000, 0.000) [1 per cell]
Pm (0.216, 0.500, 0.501) [2 per cell]
Nd (0.500, 0.000, 0.000) [1 per cell]
Tm (0.083, 0.000, 0.670) [2 per cell]
Tm (0.180, 0.500, 0.860) [2 per cell]
Tm (0.355, 0.500, 0.212) [2 per cell]
Tm (0.500, 0.000, 0.500) [1 per cell]

Computed properties:
calculated formation energy	0.16	eV per atom


Entry 3:
The following is a DFT calculation (PBE) of a relaxed ZnCuPtAu2 crystal.

Lattice parameters (Å, degrees): 5.376 12.333 5.377 90.00 90.00 90.00
Space group Cmcm (No. 63)
Symmetry-distinct sites (fractional):
Zn (0.000, 0.162, 0.250) [4 per cell]
Cu (0.000, 0.350, 0.250) [4 per cell]
Pt (0.000, 0.191, 0.750) [4 per cell]
Au (0.250, 0.000, 0.000) [8 per cell]

Computed properties:
calculated formation energy	0.13	eV per atom


Entry 4:
The following is a DFT calculation (PBE) of a relaxed Gd4Cu5P7 crystal.

Lattice parameters (Å, degrees): 5.304 5.304 19.630 90.00 90.00 90.00
Space group I-42m (No. 121)
Symmetry-distinct sites (fractional):
Gd (0.242, 0.242, 0.383) [8 per cell]
Cu (0.000, 0.000, 0.000) [2 per cell]
Cu (0.000, 0.000, 0.251) [4 per cell]
Cu (0.000, 0.500, 0.250) [4 per cell]
P (0.000, 0.000, 0.500) [2 per cell]
P (0.000, 0.500, 0.000) [4 per cell]
P (0.246, 0.246, 0.173) [8 per cell]

Computed properties:
calculated formation energy	-0.82	eV per atom


Entry 5:
The following is a DFT calculation (PBE) of a relaxed MnInNi6 crystal.

Lattice parameters (Å, degrees): 3.665 3.665 7.274 90.00 90.00 90.00
Space group P4/mmm (No. 123)
Symmetry-distinct sites (fractional):
Mn (0.000, 0.000, 0.000) [1 per cell]
In (0.000, 0.000, 0.500) [1 per cell]
Ni (0.000, 0.500, 0.235) [4 per cell]
Ni (0.500, 0.500, 0.000) [1 per cell]
Ni (0.500, 0.500, 0.500) [1 per cell]

Computed properties:
calculated formation energy	-0.07	eV per atom


Entry 6:
The following is a DFT calculation (PBE) of a relaxed KLiUSe4 crystal.

Lattice parameters (Å, degrees): 7.217 5.666 9.588 90.00 108.96 90.00
Space group P2_1/m (No. 11)
Symmetry-distinct sites (fractional):
K (0.239, 0.250, 0.450) [2 per cell]
Li (0.246, 0.750, 0.187) [2 per cell]
U (0.229, 0.250, 0.940) [2 per cell]
Se (0.030, 0.750, 0.334) [2 per cell]
Se (0.065, 0.750, 0.920) [2 per cell]
Se (0.475, 0.512, 0.803) [4 per cell]

Computed properties:
raw formation energy	-1.064	eV/atom


Entry 7:
The following is a DFT calculation (PBE) of a relaxed Tb3Sm2Se4 crystal.

Lattice parameters (Å, degrees): 13.523 4.057 9.956 90.00 119.12 90.00
Space group C2/m (No. 12)
Symmetry-distinct sites (fractional):
Tb (0.000, 0.000, 0.000) [2 per cell]
Tb (0.201, 0.000, 0.794) [4 per cell]
Sm (0.094, 0.500, 0.404) [4 per cell]
Se (0.105, 0.500, 0.906) [4 per cell]
Se (0.196, 0.000, 0.301) [4 per cell]

Computed properties:
raw formation energy	-1.564	eV/atom


Entry 8:
The following is a DFT calculation (PBE) of a relaxed Ho2HgS4 crystal.

Lattice parameters (Å, degrees): 11.291 11.291 11.291 90.00 90.00 90.00
Space group Fd-3m (No. 227, origin choice 2)
Symmetry-distinct sites (fractional):
Ho (0.000, 0.000, 0.000) [16 per cell]
Hg (0.125, 0.125, 0.625) [8 per cell]
S (0.008, 0.008, 0.242) [32 per cell]

Computed properties:
raw formation energy	-1.521	eV/atom


Entry 9:
The following is a DFT calculation (PBE) of a relaxed Pm5Dy3Ho3 crystal.

Lattice parameters (Å, degrees): 11.2360 11.2360 3.4459 90.00 90.00 120.00
Space group P-62m (No. 189)
Symmetry-distinct sites (fractional):
Pm (0.0000, 0.3390, 0.0000) [3 per cell]
Pm (0.3333, 0.6667, 0.0000) [2 per cell]
Dy (0.0000, 0.5954, 0.5000) [3 per cell]
Ho (0.0000, 0.8406, 0.0000) [3 per cell]

Computed properties:
calculated formation energy	0.32	eV per atom


Entry 10:
The following is a DFT calculation (PBE) of a relaxed ReAs2Pb crystal.

Lattice parameters (Å, degrees): 3.324 5.255 9.773 90.00 90.00 90.00
Space group Cmmm (No. 65)
Symmetry-distinct sites (fractional):
Re (0.000, 0.000, 0.000) [2 per cell]
As (0.000, 0.500, 0.194) [4 per cell]
Pb (0.000, 0.000, 0.500) [2 per cell]

Computed properties:
calculated formation energy	0.45	eV per atom


Entry 11:
The following is a DFT calculation (PBE) of a relaxed ScAlPS2 crystal.

Lattice parameters (Å, degrees): 4.872 4.872 5.073 90.00 90.00 90.00
Space group P4/mmm (No. 123)
Symmetry-distinct sites (fractional):
Sc (0.000, 0.000, 0.000) [1 per cell]
Al (0.500, 0.500, 0.500) [1 per cell]
P (0.000, 0.000, 0.500) [1 per cell]
S (0.000, 0.500, 0.000) [2 per cell]

Computed properties:
raw formation energy	-0.048	eV/atom


Entry 12:
The following is a DFT calculation (PBE) of a relaxed HfGaSn crystal.

Lattice parameters (Å, degrees): 7.219 4.167 9.045 90.00 105.33 90.00
Space group Cm (No. 8)
Symmetry-distinct sites (fractional):
Hf (0.000, 0.000, 0.000) [2 per cell]
Hf (0.129, 0.000, 0.385) [2 per cell]
Ga (0.226, 0.500, 0.178) [2 per cell]
Ga (0.400, 0.000, 0.201) [2 per cell]
Sn (0.029, 0.500, 0.587) [2 per cell]
Sn (0.260, 0.000, 0.783) [2 per cell]

Computed properties:
calculated formation energy	-0.08	eV per atom


Entry 13:
The following is a DFT calculation (PBE) of a relaxed PmPrDyHg crystal.

Lattice parameters (Å, degrees): 7.821 7.821 7.821 90.00 90.00 90.00
Space group F-43m (No. 216)
Symmetry-distinct sites (fractional):
Pm (0.000, 0.000, 0.000) [4 per cell]
Pr (0.000, 0.000, 0.500) [4 per cell]
Dy (0.250, 0.250, 0.250) [4 per cell]
Hg (0.250, 0.250, 0.750) [4 per cell]

Computed properties:
calculated formation energy	-0.07	eV per atom


Entry 14:
The following is a DFT calculation (PBE) of a relaxed CaTeMo2 crystal.

Lattice parameters (Å, degrees): 3.2299 3.2299 27.8150 90.00 90.00 120.00
Space group R-3m (No. 166, hexagonal axes)
Symmetry-distinct sites (fractional):
Ca (0.0000, 0.0000, 0.0000) [3 per cell]
Te (0.0000, 0.0000, 0.5000) [3 per cell]
Mo (0.0000, 0.0000, 0.2393) [6 per cell]

Computed properties:
raw formation energy	0.726	eV/atom


Entry 15:
The following is a DFT calculation (PBE) of a relaxed InRe2Mo crystal.

Lattice parameters (Å, degrees): 6.395 6.395 6.395 90.00 90.00 90.00
Space group F-43m (No. 216)
Symmetry-distinct sites (fractional):
In (0.000, 0.000, 0.000) [4 per cell]
Re (0.000, 0.000, 0.500) [4 per cell]
Re (0.250, 0.250, 0.250) [4 per cell]
Mo (0.250, 0.250, 0.750) [4 per cell]

Computed properties:
calculated formation energy	0.49	eV per atom


Entry 16:
The following is a DFT calculation (PBE) of a relaxed Mg2VNi2 crystal.

Lattice parameters (Å, degrees): 6.037 6.037 4.158 90.00 90.00 90.00
Space group P4/mbm (No. 127)
Symmetry-distinct sites (fractional):
Mg (0.175, 0.325, 0.000) [4 per cell]
V (0.000, 0.000, 0.500) [2 per cell]
Ni (0.134, 0.634, 0.500) [4 per cell]

Computed properties:
calculated formation energy	0.01	eV per atom


Entry 17:
The following is a DFT calculation (PBE) of a relaxed Ti2Tc2Ru crystal.

Lattice parameters (Å, degrees): 7.084 7.084 3.099 90.00 90.00 90.00
Space group P4/mbm (No. 127)
Symmetry-distinct sites (fractional):
Ti (0.186, 0.314, 0.000) [4 per cell]
Tc (0.123, 0.623, 0.500) [4 per cell]
Ru (0.000, 0.000, 0.500) [2 per cell]

Computed properties:
calculated formation energy	0.07	eV per atom


Entry 18:
The following is a DFT calculation (PBE) of a relaxed CoOsRh2 crystal.

Lattice parameters (Å, degrees): 5.298 5.306 7.619 90.00 90.00 90.00
Space group Fmmm (No. 69)
Symmetry-distinct sites (fractional):
Co (0.000, 0.000, 0.000) [4 per cell]
Os (0.000, 0.000, 0.500) [4 per cell]
Rh (0.250, 0.250, 0.250) [8 per cell]

Computed properties:
calculated formation energy	0.09	eV per atom


Entry 19:
The following is a DFT calculation (PBE) of a relaxed Tb2CdSe crystal.

Lattice parameters (Å, degrees): 4.021 23.515 4.401 90.00 90.00 90.00
Space group Cmcm (No. 63)
Symmetry-distinct sites (fractional):
Tb (0.000, 0.074, 0.250) [4 per cell]
Tb (0.000, 0.316, 0.250) [4 per cell]
Cd (0.000, 0.458, 0.250) [4 per cell]
Se (0.000, 0.195, 0.250) [4 per cell]

Computed properties:
raw formation energy	-1.019	eV/atom


Entry 20:
The following is a DFT calculation (PBE) of a relaxed Ca3Pr5Tl2 crystal.

Lattice parameters (Å, degrees): 12.365 16.835 7.018 90.00 90.00 90.00
Space group Ibam (No. 72)
Symmetry-distinct sites (fractional):
Ca (0.000, 0.000, 0.250) [4 per cell]
Ca (0.215, 0.176, 0.000) [8 per cell]
Pr (0.000, 0.312, 0.250) [8 per cell]
Pr (0.000, 0.500, 0.250) [4 per cell]
Pr (0.220, 0.451, 0.000) [8 per cell]
Tl (0.075, 0.160, 0.500) [8 per cell]

Computed properties:
calculated formation energy	0.01	eV per atom


Number 1: VASP energy -50.7 eV/cell. Number 2: VASP energy -48.6 eV/cell. Number 3: VASP energy -69.2 eV/cell. Number 4: VASP energy -255.4 eV/cell. Number 5: VASP energy -47.1 eV/cell. Number 6: VASP energy -71.4 eV/cell. Number 7: VASP energy -102.7 eV/cell. Number 8: VASP energy -292.9 eV/cell. Number 9: VASP energy -47.7 eV/cell. Number 10: VASP energy -47.3 eV/cell. Number 11: VASP energy -24.0 eV/cell. Number 12: VASP energy -68.9 eV/cell. Number 13: VASP energy -58.9 eV/cell. Number 14: VASP energy -71.7 eV/cell. Number 15: VASP energy -146.0 eV/cell. Number 16: VASP energy -47.7 eV/cell. Number 17: VASP energy -90.9 eV/cell. Number 18: VASP energy -130.7 eV/cell. Number 19: VASP energy -70.9 eV/cell. Number 20: VASP energy -138.0 eV/cell.